#a
Nd2TlRh | PBE | optimized geometry

Space-group type = No. 63
Magnetization = 0.000 μB per formula unit
Fermi-level density of states = 3.29 states/eV/f.u.

Unit cell a=3.958 b=14.889 c=7.521 alpha=90.00 beta=90.00 gamma=90.00
Sites, in units of the cell vectors:
1 Nd 0.000 0.140 0.000
2 Nd 0.000 0.140 0.500
3 Nd 0.000 0.860 0.000
4 Nd 0.000 0.860 0.500
5 Nd 0.500 0.360 0.000
6 Nd 0.500 0.360 0.500
7 Nd 0.500 0.640 0.000
8 Nd 0.500 0.640 0.500
9 Tl 0.000 0.499 0.250
10 Tl 0.000 0.501 0.750
11 Tl 0.500 0.001 0.750
12 Tl 0.500 0.999 0.250
13 Rh 0.000 0.297 0.250
14 Rh 0.000 0.703 0.750
15 Rh 0.500 0.203 0.750
16 Rh 0.500 0.797 0.250



#b
Nd2TlRh | PBE | optimized geometry

Space-group type = No. 160
Magnetization = 0.000 μB per formula unit
Fermi-level density of states = 2.21 states/eV/f.u.

Unit cell a=4.064 b=4.064 c=24.883 alpha=90.00 beta=90.00 gamma=120.00
Sites, in units of the cell vectors:
1 Nd 0.000 0.000 0.000
2 Nd 0.000 0.000 0.203
3 Nd 0.333 0.667 0.667
4 Nd 0.333 0.667 0.870
5 Nd 0.667 0.333 0.333
6 Nd 0.667 0.333 0.537
7 Tl 0.000 0.000 0.768
8 Tl 0.333 0.667 0.435
9 Tl 0.667 0.333 0.102
10 Rh 0.000 0.000 0.602
11 Rh 0.333 0.667 0.269
12 Rh 0.667 0.333 0.935



#a has the most favorable energy; the next structure is 64 meV per atom above.



#a
Nd6Tl2Rh | PBE | optimized geometry

Space-group type = No. 189
Magnetization = 0.000 μB per formula unit
Fermi-level density of states = 11.71 states/eV/f.u.

Unit cell a=8.971 b=8.971 c=3.898 alpha=90.00 beta=90.00 gamma=120.00
Sites, in units of the cell vectors:
1 Nd 0.000 0.399 0.000
2 Nd 0.000 0.759 0.500
3 Nd 0.241 0.241 0.500
4 Nd 0.399 0.000 0.000
5 Nd 0.601 0.601 0.000
6 Nd 0.759 0.000 0.500
7 Tl 0.333 0.667 0.500
8 Tl 0.667 0.333 0.500
9 Rh 0.000 0.000 0.000



#b
Nd6Tl2Rh | PBE | optimized geometry

Space-group type = No. 14
Magnetization = 0.000 μB per formula unit
Fermi-level density of states = 10.05 states/eV/f.u.

Unit cell a=7.411 b=7.362 c=12.865 alpha=90.00 beta=123.41 gamma=90.00
Sites, in units of the cell vectors:
1 Nd 0.151 0.201 0.462
2 Nd 0.151 0.299 0.962
3 Nd 0.262 0.689 0.462
4 Nd 0.262 0.811 0.962
5 Nd 0.338 0.502 0.748
6 Nd 0.338 0.998 0.248
7 Nd 0.662 0.002 0.752
8 Nd 0.662 0.498 0.252
9 Nd 0.738 0.189 0.038
10 Nd 0.738 0.311 0.538
11 Nd 0.849 0.701 0.038
12 Nd 0.849 0.799 0.538
13 Tl 0.221 0.066 0.745
14 Tl 0.221 0.434 0.245
15 Tl 0.779 0.566 0.755
16 Tl 0.779 0.934 0.255
17 Rh 0.500 0.000 0.500
18 Rh 0.500 0.500 0.000



#a has the most favorable energy; the next structure is 88 meV per atom above.



#a
Nd5Tl2Rh | PBE | optimized geometry

Space-group type = No. 44
Magnetization = 0.000 μB per formula unit
Fermi-level density of states = 6.73 states/eV/f.u.

Unit cell a=7.161 b=9.375 c=7.051 alpha=90.00 beta=90.00 gamma=90.00
Sites, in units of the cell vectors:
1 Nd 0.000 0.000 0.000
2 Nd 0.243 0.203 0.611
3 Nd 0.243 0.797 0.611
4 Nd 0.257 0.297 0.111
5 Nd 0.257 0.703 0.111
6 Nd 0.500 0.500 0.500
7 Nd 0.743 0.297 0.111
8 Nd 0.743 0.703 0.111
9 Nd 0.757 0.203 0.611
10 Nd 0.757 0.797 0.611
11 Tl 0.000 0.500 0.403
12 Tl 0.000 0.500 0.823
13 Tl 0.500 0.000 0.323
14 Tl 0.500 0.000 0.903
15 Rh 0.000 0.000 0.455
16 Rh 0.500 0.500 0.955



#b
Nd5Tl2Rh | PBE | optimized geometry

Space-group type = No. 55
Magnetization = 0.000 μB per formula unit
Fermi-level density of states = 6.87 states/eV/f.u.

Unit cell a=7.977 b=12.485 c=4.868 alpha=90.00 beta=90.00 gamma=90.00
Sites, in units of the cell vectors:
1 Nd 0.000 0.000 0.000
2 Nd 0.133 0.296 0.000
3 Nd 0.184 0.573 0.500
4 Nd 0.316 0.073 0.500
5 Nd 0.367 0.796 0.000
6 Nd 0.500 0.500 0.000
7 Nd 0.633 0.204 0.000
8 Nd 0.684 0.927 0.500
9 Nd 0.816 0.427 0.500
10 Nd 0.867 0.704 0.000
11 Tl 0.080 0.832 0.500
12 Tl 0.420 0.332 0.500
13 Tl 0.580 0.668 0.500
14 Tl 0.920 0.168 0.500
15 Rh 0.000 0.500 0.000
16 Rh 0.500 0.000 0.000



#b has the most favorable energy; the next structure is 130 meV per atom above.



#a
Nd3Tl2Rh | PBE | optimized geometry

Space-group type = No. 12
Magnetization = 0.000 μB per formula unit
Fermi-level density of states = 4.50 states/eV/f.u.

Unit cell a=6.916 b=6.916 c=8.153 alpha=96.00 beta=96.00 gamma=109.66
Sites, in units of the cell vectors:
1 Nd 0.045 0.404 0.770
2 Nd 0.177 0.177 0.175
3 Nd 0.404 0.045 0.770
4 Nd 0.596 0.955 0.230
5 Nd 0.823 0.823 0.825
6 Nd 0.955 0.596 0.230
7 Tl 0.000 0.000 0.500
8 Tl 0.367 0.633 0.500
9 Tl 0.500 0.500 0.000
10 Tl 0.633 0.367 0.500
11 Rh 0.204 0.796 0.000
12 Rh 0.796 0.204 0.000



#b
Nd3Tl2Rh | PBE | optimized geometry

Space-group type = No. 62
Magnetization = 0.000 μB per formula unit
Fermi-level density of states = 4.56 states/eV/f.u.

Unit cell a=13.209 b=4.116 c=12.929 alpha=90.00 beta=90.00 gamma=90.00
Sites, in units of the cell vectors:
1 Nd 0.037 0.250 0.124
2 Nd 0.117 0.750 0.536
3 Nd 0.249 0.250 0.782
4 Nd 0.251 0.750 0.282
5 Nd 0.383 0.250 0.036
6 Nd 0.463 0.750 0.624
7 Nd 0.537 0.250 0.376
8 Nd 0.617 0.750 0.964
9 Nd 0.749 0.250 0.718
10 Nd 0.751 0.750 0.218
11 Nd 0.883 0.250 0.464
12 Nd 0.963 0.750 0.876
13 Tl 0.007 0.250 0.695
14 Tl 0.185 0.750 0.998
15 Tl 0.315 0.250 0.498
16 Tl 0.493 0.750 0.195
17 Tl 0.507 0.250 0.805
18 Tl 0.685 0.750 0.502
19 Tl 0.815 0.250 0.002
20 Tl 0.993 0.750 0.305
21 Rh 0.134 0.250 0.377
22 Rh 0.366 0.750 0.877
23 Rh 0.634 0.250 0.123
24 Rh 0.866 0.750 0.623



#b has the most favorable energy; the next structure is 66 meV per atom above.



#a
NdTmTlRh | PBE | optimized geometry

Space-group type = No. 216
Magnetization = 0.000 μB per formula unit
Fermi-level density of states = 2.75 states/eV/f.u.

Unit cell a=7.314 b=7.314 c=7.314 alpha=90.00 beta=90.00 gamma=90.00
Sites, in units of the cell vectors:
1 Nd 0.000 0.000 0.000
2 Nd 0.000 0.500 0.500
3 Nd 0.500 0.000 0.500
4 Nd 0.500 0.500 0.000
5 Tm 0.000 0.000 0.500
6 Tm 0.000 0.500 0.000
7 Tm 0.500 0.000 0.000
8 Tm 0.500 0.500 0.500
9 Tl 0.250 0.250 0.750
10 Tl 0.250 0.750 0.250
11 Tl 0.750 0.250 0.250
12 Tl 0.750 0.750 0.750
13 Rh 0.250 0.250 0.250
14 Rh 0.250 0.750 0.750
15 Rh 0.750 0.250 0.750
16 Rh 0.750 0.750 0.250



#b
NdTmTlRh | PBE | optimized geometry

Space-group type = No. 99
Magnetization = 0.000 μB per formula unit
Fermi-level density of states = 3.39 states/eV/f.u.

Unit cell a=3.513 b=3.513 c=7.938 alpha=90.00 beta=90.00 gamma=90.00
Sites, in units of the cell vectors:
1 Nd 0.000 0.000 0.000
2 Tm 0.000 0.000 0.577
3 Tl 0.500 0.500 0.302
4 Rh 0.500 0.500 0.764



#b has the most favorable energy; the next structure is 141 meV per atom above.



#a
NdYTlRh | PBE | optimized geometry

Space-group type = No. 99
Magnetization = 0.000 μB per formula unit
Fermi-level density of states = 3.54 states/eV/f.u.

Unit cell a=3.557 b=3.557 c=7.916 alpha=90.00 beta=90.00 gamma=90.00
Sites, in units of the cell vectors:
1 Nd 0.000 0.000 0.000
2 Y 0.000 0.000 0.573
3 Tl 0.500 0.500 0.297
4 Rh 0.500 0.500 0.772



#b
NdYTlRh | PBE | optimized geometry

Space-group type = No. 216
Magnetization = 0.000 μB per formula unit
Fermi-level density of states = 3.17 states/eV/f.u.

Unit cell a=7.366 b=7.366 c=7.366 alpha=90.00 beta=90.00 gamma=90.00
Sites, in units of the cell vectors:
1 Nd 0.000 0.000 0.000
2 Nd 0.000 0.500 0.500
3 Nd 0.500 0.000 0.500
4 Nd 0.500 0.500 0.000
5 Y 0.000 0.000 0.500
6 Y 0.000 0.500 0.000
7 Y 0.500 0.000 0.000
8 Y 0.500 0.500 0.500
9 Tl 0.250 0.250 0.750
10 Tl 0.250 0.750 0.250
11 Tl 0.750 0.250 0.250
12 Tl 0.750 0.750 0.750
13 Rh 0.250 0.250 0.250
14 Rh 0.250 0.750 0.750
15 Rh 0.750 0.250 0.750
16 Rh 0.750 0.750 0.250



#a has the most favorable energy; the next structure is 119 meV per atom above.



#a
NdTm2Rh | PBE | optimized geometry

Space-group type = No. 166
Magnetization = 0.000 μB per formula unit
Fermi-level density of states = 3.72 states/eV/f.u.

Unit cell a=3.746 b=3.746 c=28.209 alpha=90.00 beta=90.00 gamma=120.00
Sites, in units of the cell vectors:
1 Nd 0.000 0.000 0.000
2 Nd 0.333 0.667 0.667
3 Nd 0.667 0.333 0.333
4 Tm 0.000 0.000 0.225
5 Tm 0.000 0.000 0.775
6 Tm 0.333 0.667 0.442
7 Tm 0.333 0.667 0.892
8 Tm 0.667 0.333 0.108
9 Tm 0.667 0.333 0.558
10 Rh 0.000 0.000 0.500
11 Rh 0.333 0.667 0.167
12 Rh 0.667 0.333 0.833



#b
NdTm2Rh | PBE | optimized geometry

Space-group type = No. 160
Magnetization = 0.000 μB per formula unit
Fermi-level density of states = 4.51 states/eV/f.u.

Unit cell a=3.871 b=3.871 c=26.865 alpha=90.00 beta=90.00 gamma=120.00
Sites, in units of the cell vectors:
1 Nd 0.000 0.000 0.000
2 Nd 0.333 0.667 0.667
3 Nd 0.667 0.333 0.333
4 Tm 0.000 0.000 0.226
5 Tm 0.000 0.000 0.445
6 Tm 0.333 0.667 0.112
7 Tm 0.333 0.667 0.893
8 Tm 0.667 0.333 0.559
9 Tm 0.667 0.333 0.778
10 Rh 0.000 0.000 0.836
11 Rh 0.333 0.667 0.502
12 Rh 0.667 0.333 0.169



#b has the most favorable energy; the next structure is 17 meV per atom above.



#a
NdTm2Rh | PBE | optimized geometry

Space-group type = No. 123
Magnetization = 0.000 μB per formula unit
Fermi-level density of states = 4.62 states/eV/f.u.

Unit cell a=3.459 b=3.459 c=8.693 alpha=90.00 beta=90.00 gamma=90.00
Sites, in units of the cell vectors:
1 Nd 0.000 0.000 0.000
2 Tm 0.500 0.500 0.315
3 Tm 0.500 0.500 0.685
4 Rh 0.000 0.000 0.500



#b
NdTm2Rh | PBE | optimized geometry

Space-group type = No. 63
Magnetization = 0.000 μB per formula unit
Fermi-level density of states = 4.81 states/eV/f.u.

Unit cell a=3.766 b=12.177 c=9.325 alpha=90.00 beta=90.00 gamma=90.00
Sites, in units of the cell vectors:
1 Nd 0.000 0.071 0.250
2 Nd 0.000 0.929 0.750
3 Nd 0.500 0.429 0.750
4 Nd 0.500 0.571 0.250
5 Tm 0.000 0.359 0.068
6 Tm 0.000 0.359 0.432
7 Tm 0.000 0.641 0.568
8 Tm 0.000 0.641 0.932
9 Tm 0.500 0.141 0.568
10 Tm 0.500 0.141 0.932
11 Tm 0.500 0.859 0.068
12 Tm 0.500 0.859 0.432
13 Rh 0.000 0.242 0.750
14 Rh 0.000 0.758 0.250
15 Rh 0.500 0.258 0.250
16 Rh 0.500 0.742 0.750



#c
NdTm2Rh | PBE | optimized geometry

Space-group type = No. 62
Magnetization = 0.000 μB per formula unit
Fermi-level density of states = 4.37 states/eV/f.u.

Unit cell a=7.185 b=9.378 c=6.386 alpha=90.00 beta=90.00 gamma=90.00
Sites, in units of the cell vectors:
1 Nd 0.033 0.250 0.136
2 Nd 0.467 0.750 0.636
3 Nd 0.533 0.250 0.364
4 Nd 0.967 0.750 0.864
5 Tm 0.176 0.065 0.668
6 Tm 0.176 0.435 0.668
7 Tm 0.324 0.565 0.168
8 Tm 0.324 0.935 0.168
9 Tm 0.676 0.065 0.832
10 Tm 0.676 0.435 0.832
11 Tm 0.824 0.565 0.332
12 Tm 0.824 0.935 0.332
13 Rh 0.117 0.750 0.427
14 Rh 0.383 0.250 0.927
15 Rh 0.617 0.750 0.073
16 Rh 0.883 0.250 0.573



#c has the most favorable energy; the next structure is 26 meV per atom above.



#a
NdTmRh | PBE | optimized geometry

Space-group type = No. 156
Magnetization = 0.000 μB per formula unit
Fermi-level density of states = 2.71 states/eV/f.u.

Unit cell a=4.060 b=4.060 c=6.200 alpha=90.00 beta=90.00 gamma=120.00
Sites, in units of the cell vectors:
1 Nd 0.000 0.000 0.000
2 Tm 0.667 0.333 0.521
3 Rh 0.333 0.667 0.743



#b
NdTmRh | PBE | optimized geometry

Space-group type = No. 14
Magnetization = 0.000 μB per formula unit
Fermi-level density of states = 2.77 states/eV/f.u.

Unit cell a=6.890 b=6.051 c=10.253 alpha=90.00 beta=128.18 gamma=90.00
Sites, in units of the cell vectors:
1 Nd 0.183 0.130 0.387
2 Nd 0.183 0.370 0.887
3 Nd 0.817 0.630 0.113
4 Nd 0.817 0.870 0.613
5 Tm 0.340 0.615 0.633
6 Tm 0.340 0.885 0.133
7 Tm 0.660 0.115 0.867
8 Tm 0.660 0.385 0.367
9 Rh 0.338 0.670 0.365
10 Rh 0.338 0.830 0.865
11 Rh 0.662 0.170 0.135
12 Rh 0.662 0.330 0.635



#c
NdTmRh | PBE | optimized geometry

Space-group type = No. 11
Magnetization = 0.000 μB per formula unit
Fermi-level density of states = 2.67 states/eV/f.u.

Unit cell a=4.677 b=4.758 c=7.050 alpha=90.00 beta=97.60 gamma=90.00
Sites, in units of the cell vectors:
1 Nd 0.235 0.250 0.387
2 Nd 0.765 0.750 0.613
3 Tm 0.264 0.750 0.007
4 Tm 0.736 0.250 0.993
5 Rh 0.173 0.250 0.776
6 Rh 0.827 0.750 0.224



#c has the most favorable energy; the next structure is 76 meV per atom above.



#a
NdTmRh | PBE | optimized geometry

Space-group type = No. 107
Magnetization = 0.000 μB per formula unit
Fermi-level density of states = 3.82 states/eV/f.u.

Unit cell a=3.482 b=3.482 c=12.672 alpha=90.00 beta=90.00 gamma=90.00
Sites, in units of the cell vectors:
1 Nd 0.000 0.000 0.000
2 Nd 0.500 0.500 0.500
3 Tm 0.000 0.000 0.263
4 Tm 0.500 0.500 0.763
5 Rh 0.000 0.000 0.646
6 Rh 0.500 0.500 0.146



#b
NdTmRh | PBE | optimized geometry

Space-group type = No. 216
Magnetization = 0.000 μB per formula unit
Fermi-level density of states = 3.32 states/eV/f.u.

Unit cell a=6.872 b=6.872 c=6.872 alpha=90.00 beta=90.00 gamma=90.00
Sites, in units of the cell vectors:
1 Nd 0.000 0.000 0.000
2 Nd 0.000 0.500 0.500
3 Nd 0.500 0.000 0.500
4 Nd 0.500 0.500 0.000
5 Tm 0.000 0.000 0.500
6 Tm 0.000 0.500 0.000
7 Tm 0.500 0.000 0.000
8 Tm 0.500 0.500 0.500
9 Rh 0.250 0.250 0.750
10 Rh 0.250 0.750 0.250
11 Rh 0.750 0.250 0.250
12 Rh 0.750 0.750 0.750



#b has the most favorable energy; the next structure is 14 meV per atom above.



#a
NdYRh | PBE | optimized geometry

Space-group type = No. 14
Magnetization = 0.000 μB per formula unit
Fermi-level density of states = 3.00 states/eV/f.u.

Unit cell a=6.990 b=6.054 c=10.502 alpha=90.00 beta=129.18 gamma=90.00
Sites, in units of the cell vectors:
1 Nd 0.185 0.135 0.382
2 Nd 0.185 0.365 0.882
3 Nd 0.815 0.635 0.118
4 Nd 0.815 0.865 0.618
5 Y 0.334 0.620 0.631
6 Y 0.334 0.880 0.131
7 Y 0.666 0.120 0.869
8 Y 0.666 0.380 0.369
9 Rh 0.336 0.670 0.367
10 Rh 0.336 0.830 0.867
11 Rh 0.664 0.170 0.133
12 Rh 0.664 0.330 0.633



#b
NdYRh | PBE | optimized geometry

Space-group type = No. 216
Magnetization = 0.000 μB per formula unit
Fermi-level density of states = 3.34 states/eV/f.u.

Unit cell a=6.922 b=6.922 c=6.922 alpha=90.00 beta=90.00 gamma=90.00
Sites, in units of the cell vectors:
1 Nd 0.000 0.000 0.000
2 Nd 0.000 0.500 0.500
3 Nd 0.500 0.000 0.500
4 Nd 0.500 0.500 0.000
5 Y 0.000 0.000 0.500
6 Y 0.000 0.500 0.000
7 Y 0.500 0.000 0.000
8 Y 0.500 0.500 0.500
9 Rh 0.250 0.250 0.750
10 Rh 0.250 0.750 0.250
11 Rh 0.750 0.250 0.250
12 Rh 0.750 0.750 0.750



#b has the most favorable energy; the next structure is 14 meV per atom above.